This record from Alexandria describes a relaxed structure of Rb2ZnSiF6. The functional is GGA-PBE.

## Properties
- Density of states at the Fermi level: 0.000 states/eV/cell
- Magnetic moment: 0.00 Bohr magnetons per cell
- E_tot: -43.6 eV/cell
- Symmetry: Fm-3m (225)
- Formation energy without anion corrections: -23.7 eV per formula unit

abc: 6.0645 6.0645 6.0663
angles: 60.01 60.01 90.00
Last column: nearest neighbours and their distance in Å.
Sites, in units of the cell vectors:
F (0.7555, 0.7555, 0.4890)  1 Zn 2.10, 1 Si 2.19
F (0.2446, 0.2446, 0.0000)  1 Zn 2.10, 1 Si 2.19
F (0.7554, 0.2446, 0.0000)  1 Zn 2.10, 1 Si 2.19
F (0.2445, 0.2445, 0.5110)  1 Zn 2.10, 1 Si 2.19
F (0.7554, 0.7554, 0.0000)  1 Zn 2.10, 1 Si 2.19
F (0.2446, 0.7554, 0.0000)  1 Zn 2.10, 1 Si 2.19
Si (0.5000, 0.5000, 0.0000)  6 F 2.19
Rb (0.7500, 0.2500, 0.5000)  12 F 3.03
Rb (0.2500, 0.7500, 0.5000)  12 F 3.03
Zn (0.0000, 0.0000, 0.0000)  6 F 2.10

---

This record from Alexandria describes a relaxed structure of Rb2ZrSiF6. The functional is GGA-PBE.

## Properties
- Density of states at the Fermi level: 0.000 states/eV/cell
- Magnetic moment: 0.00 Bohr magnetons per cell
- E_tot: -52.8 eV/cell
- Symmetry: I4/mmm (139)
- Formation energy without anion corrections: -25.6 eV per formula unit

abc: 6.1239 6.1239 7.4009
angles: 65.56 65.56 90.00
Last column: nearest neighbours and their distance in Å.
Sites, in units of the cell vectors:
Rb (0.2500, 0.7500, 0.5000)  4 F 3.20
Rb (0.7500, 0.2500, 0.5000)  4 F 3.20
F (0.1712, 0.1712, 0.6576)  1 Zr 2.05
F (0.7642, 0.7642, 0.0000)  1 Zr 2.04
F (0.8288, 0.8288, 0.3424)  1 Zr 2.05
F (0.2358, 0.7642, 0.0000)  1 Zr 2.04
F (0.7642, 0.2358, 0.0000)  1 Zr 2.04
F (0.2358, 0.2358, 0.0000)  1 Zr 2.04
Si (0.5000, 0.5000, 0.0000)  4 F 2.29
Zr (0.0000, 0.0000, 0.0000)  6 F 2.04-2.05